(1)
Here is a geometry-optimized TbLuInIr structure from Alexandria via LeMat-Bulk. Energies are from PBE.

```
data_TbLuInIr
_cell_length_a 7.1217
_cell_length_b 7.1217
_cell_length_c 7.1217
_cell_angle_alpha 90.00
_cell_angle_beta 90.00
_cell_angle_gamma 90.00
_space_group_name_H-M_alt 'F -4 3 m'
_space_group_IT_number 216
_space_group_name_Hall 'F -4 2 3'
loop_
_atom_site_label
_atom_site_fract_x
_atom_site_fract_y
_atom_site_fract_z
Tb1 0.0000 0.0000 0.0000
Lu1 0.0000 0.0000 0.5000
In1 0.2500 0.2500 0.7500
Ir1 0.2500 0.2500 0.2500
```

---

(2)
Here is a geometry-optimized TmLuInIr structure from Alexandria via LeMat-Bulk. Energies are from PBE.

```
data_TmLuInIr
_cell_length_a 7.0551
_cell_length_b 7.0551
_cell_length_c 7.0551
_cell_angle_alpha 90.00
_cell_angle_beta 90.00
_cell_angle_gamma 90.00
_space_group_name_H-M_alt 'F -4 3 m'
_space_group_IT_number 216
_space_group_name_Hall 'F -4 2 3'
loop_
_atom_site_label
_atom_site_fract_x
_atom_site_fract_y
_atom_site_fract_z
Tm1 0.0000 0.0000 0.0000
Lu1 0.0000 0.0000 0.5000
In1 0.2500 0.2500 0.2500
Ir1 0.2500 0.2500 0.7500
```

---

(3)
Here is a geometry-optimized LuZrInIr structure from Alexandria via LeMat-Bulk. Energies are from PBE.

```
data_LuZrInIr
_cell_length_a 6.9335
_cell_length_b 6.9335
_cell_length_c 6.9335
_cell_angle_alpha 90.00
_cell_angle_beta 90.00
_cell_angle_gamma 90.00
_space_group_name_H-M_alt 'F -4 3 m'
_space_group_IT_number 216
_space_group_name_Hall 'F -4 2 3'
loop_
_atom_site_label
_atom_site_fract_x
_atom_site_fract_y
_atom_site_fract_z
Lu1 0.0000 0.0000 0.0000
Zr1 0.0000 0.0000 0.5000
In1 0.2500 0.2500 0.2500
Ir1 0.2500 0.2500 0.7500
```

---

no.,electronic total energy (eV/atom)
1,-5.758
2,-5.752
3,-6.629